Density functional theory data (PBE) for a geometry-optimized PmDyEr structure.

D(E_F): 1.3571 states/eV/atom
calculated volume: 96 Å³/f.u.
formation energy: 21 meV/atom
VASP energy: -4.62 eV/atom
excess energy over the best structure of this formula in the dataset: 2 meV per atom

Geometry as extended XYZ:
```
6
Lattice="3.568 0.000 0.000 0.000 3.568 0.000 0.000 0.000 15.122" Properties=species:S:1:pos:R:3 pbc="T T T"
Pm 0.000 0.000 0.000
Pm 1.784 1.784 7.561
Dy 0.000 0.000 10.115
Dy 1.784 1.784 2.554
Er 0.000 0.000 5.028
Er 1.784 1.784 12.589
```